Density functional theory data (PBE) for a relaxed structure of AgMo2Pb.

```
4
Lattice="-2.8281 -0.0732 -0.5645 1.2525 -1.0777 -2.3647 -0.5000 -8.4964 3.6073" Properties=species:S:1:pos:R:3 pbc="T T T"
Ag -1.1628 -6.9477 1.2409
Mo -0.2543 -4.3208 1.8345
Mo -0.4957 -8.4237 3.5765
Pb -0.9128 -2.6996 -0.5627
```

symmetry	Cmmm, No. 65
DOS(E_F)	3.9	states/eV/f.u.
final energy	-6.186	eV/atom
size of the total moment	0.00	μB/f.u.